Entry A
# NaCa5 (PBE, optimized geometry)
# symmetry: P4/mmm (123)
data_NaCa5
_chemical_formula_sum 'Na1 Ca5'
_space_group_name_H-M_alt 'P 1'
_space_group_IT_number 1
_space_group_name_Hall 'P 1'
_cell_length_a 3.863
_cell_length_b 3.863
_cell_length_c 16.508
_cell_angle_alpha 90.00
_cell_angle_beta 90.00
_cell_angle_gamma 90.00
loop_
_atom_site_label
_atom_site_type_symbol
_atom_site_fract_x
_atom_site_fract_y
_atom_site_fract_z
_atom_site_occupancy
Na1 Na 0.500 0.500 0.500 1
Ca1 Ca 0.500 0.500 0.170 1
Ca2 Ca 0.000 0.000 0.661 1
Ca3 Ca 0.000 0.000 0.000 1
Ca4 Ca 0.000 0.000 0.339 1
Ca5 Ca 0.500 0.500 0.830 1

***

Entry B
# NaCa5 (PBE, optimized geometry)
# symmetry: Cm (8)
data_NaCa5
_chemical_formula_sum 'Na1 Ca5'
_space_group_name_H-M_alt 'P 1'
_space_group_IT_number 1
_space_group_name_Hall 'P 1'
_cell_length_a 3.765
_cell_length_b 6.618
_cell_length_c 10.535
_cell_angle_alpha 90.47
_cell_angle_beta 90.00
_cell_angle_gamma 106.53
loop_
_atom_site_label
_atom_site_type_symbol
_atom_site_fract_x
_atom_site_fract_y
_atom_site_fract_z
_atom_site_occupancy
Ca1 Ca 0.995 0.990 0.549 1
Ca2 Ca 0.727 0.454 0.045 1
Ca3 Ca 0.729 0.459 0.397 1
Ca4 Ca 0.262 0.524 0.721 1
Ca5 Ca 0.461 0.921 0.223 1
Na1 Na 0.993 0.985 0.898 1

***

Entry C
# NaCa5 (PBE, optimized geometry)
# symmetry: Cmmm (65)
data_NaCa5
_chemical_formula_sum 'Na1 Ca5'
_space_group_name_H-M_alt 'P 1'
_space_group_IT_number 1
_space_group_name_Hall 'P 1'
_cell_length_a 4.164
_cell_length_b 6.302
_cell_length_c 9.896
_cell_angle_alpha 108.57
_cell_angle_beta 90.00
_cell_angle_gamma 90.00
loop_
_atom_site_label
_atom_site_type_symbol
_atom_site_fract_x
_atom_site_fract_y
_atom_site_fract_z
_atom_site_occupancy
Ca1 Ca 0.000 0.675 0.349 1
Ca2 Ca 0.000 0.325 0.651 1
Ca3 Ca 0.500 0.843 0.685 1
Ca4 Ca 0.500 0.500 0.000 1
Ca5 Ca 0.500 0.157 0.315 1
Na1 Na 0.000 0.000 0.000 1

***

Q: Which of them is the most stable? A: entry A.

***

Entry A
# NaCa2Nb (PBE, optimized geometry)
# symmetry: Fm-3m (225)
data_NaCa2Nb
_chemical_formula_sum 'Na1 Ca2 Nb1'
_space_group_name_H-M_alt 'P 1'
_space_group_IT_number 1
_space_group_name_Hall 'P 1'
_cell_length_a 5.624
_cell_length_b 5.624
_cell_length_c 5.624
_cell_angle_alpha 60.00
_cell_angle_beta 60.00
_cell_angle_gamma 60.00
loop_
_atom_site_label
_atom_site_type_symbol
_atom_site_fract_x
_atom_site_fract_y
_atom_site_fract_z
_atom_site_occupancy
Ca1 Ca 0.750 0.750 0.750 1
Ca2 Ca 0.250 0.250 0.250 1
Na1 Na 0.000 0.000 0.000 1
Nb1 Nb 0.500 0.500 0.500 1

***

Entry B
# NaCa2Nb (PBE, optimized geometry)
# symmetry: I-42d (122)
data_NaCa2Nb
_chemical_formula_sum 'Na2 Ca4 Nb2'
_space_group_name_H-M_alt 'P 1'
_space_group_IT_number 1
_space_group_name_Hall 'P 1'
_cell_length_a 8.603
_cell_length_b 8.603
_cell_length_c 6.995
_cell_angle_alpha 52.05
_cell_angle_beta 52.05
_cell_angle_gamma 90.00
loop_
_atom_site_label
_atom_site_type_symbol
_atom_site_fract_x
_atom_site_fract_y
_atom_site_fract_z
_atom_site_occupancy
Nb1 Nb 0.750 0.250 0.500 1
Nb2 Nb 0.000 0.000 0.000 1
Ca1 Ca 0.125 0.625 0.250 1
Ca2 Ca 0.875 0.875 0.750 1
Ca3 Ca 0.375 0.375 0.750 1
Ca4 Ca 0.625 0.125 0.250 1
Na1 Na 0.500 0.500 0.000 1
Na2 Na 0.250 0.750 0.500 1

***

Q: Which of them is the most stable? A: entry A.

***

Entry A
# Na2CaNb (PBE, optimized geometry)
# symmetry: Fm-3m (225)
data_Na2CaNb
_chemical_formula_sum 'Na2 Ca1 Nb1'
_space_group_name_H-M_alt 'P 1'
_space_group_IT_number 1
_space_group_name_Hall 'P 1'
_cell_length_a 5.529
_cell_length_b 5.529
_cell_length_c 5.529
_cell_angle_alpha 60.00
_cell_angle_beta 60.00
_cell_angle_gamma 60.00
loop_
_atom_site_label
_atom_site_type_symbol
_atom_site_fract_x
_atom_site_fract_y
_atom_site_fract_z
_atom_site_occupancy
Nb1 Nb 0.500 0.500 0.500 1
Na1 Na 0.750 0.750 0.750 1
Na2 Na 0.250 0.250 0.250 1
Ca1 Ca 0.000 0.000 0.000 1

***

Entry B
# Na2CaNb (PBE, optimized geometry)
# symmetry: I-42d (122)
data_Na2CaNb
_chemical_formula_sum 'Na4 Ca2 Nb2'
_space_group_name_H-M_alt 'P 1'
_space_group_IT_number 1
_space_group_name_Hall 'P 1'
_cell_length_a 8.933
_cell_length_b 8.933
_cell_length_c 7.091
_cell_angle_alpha 50.96
_cell_angle_beta 50.96
_cell_angle_gamma 90.00
loop_
_atom_site_label
_atom_site_type_symbol
_atom_site_fract_x
_atom_site_fract_y
_atom_site_fract_z
_atom_site_occupancy
Ca1 Ca 0.250 0.750 0.500 1
Ca2 Ca 0.500 0.500 0.000 1
Na1 Na 0.642 0.125 0.250 1
Na2 Na 0.108 0.625 0.250 1
Na3 Na 0.875 0.892 0.750 1
Na4 Na 0.375 0.358 0.750 1
Nb1 Nb 0.750 0.250 0.500 1
Nb2 Nb 0.000 0.000 0.000 1

***

Q: Which of them is the most stable? A: entry A.

***

Entry A
# Na3CaNb (PBE, optimized geometry)
# symmetry: Pm-3m (221)
data_Na3CaNb
_chemical_formula_sum 'Na3 Ca1 Nb1'
_space_group_name_H-M_alt 'P 1'
_space_group_IT_number 1
_space_group_name_Hall 'P 1'
_cell_length_a 5.910
_cell_length_b 5.910
_cell_length_c 5.910
_cell_angle_alpha 90.00
_cell_angle_beta 90.00
_cell_angle_gamma 90.00
loop_
_atom_site_label
_atom_site_type_symbol
_atom_site_fract_x
_atom_site_fract_y
_atom_site_fract_z
_atom_site_occupancy
Na1 Na 0.500 0.000 0.000 1
Na2 Na 0.000 0.000 0.500 1
Na3 Na 0.000 0.500 0.000 1
Nb1 Nb 0.500 0.500 0.500 1
Ca1 Ca 0.000 0.000 0.000 1

***

Entry B
# Na3CaNb (PBE, optimized geometry)
# symmetry: Pm-3m (221)
data_Na3CaNb
_chemical_formula_sum 'Na3 Ca1 Nb1'
_space_group_name_H-M_alt 'P 1'
_space_group_IT_number 1
_space_group_name_Hall 'P 1'
_cell_length_a 5.873
_cell_length_b 5.873
_cell_length_c 5.873
_cell_angle_alpha 90.00
_cell_angle_beta 90.00
_cell_angle_gamma 90.00
loop_
_atom_site_label
_atom_site_type_symbol
_atom_site_fract_x
_atom_site_fract_y
_atom_site_fract_z
_atom_site_occupancy
Ca1 Ca 0.500 0.500 0.500 1
Na1 Na 0.500 0.000 0.000 1
Na2 Na 0.000 0.500 0.000 1
Na3 Na 0.000 0.000 0.500 1
Nb1 Nb 0.000 0.000 0.000 1

***

Q: Which of them is the most stable? A: entry B.